SbBr: optimized geometry, PBE.

Output
* raw total energy: -0.114 hartree per atom
* relative energy among the computed polymorphs: 117 meV per atom
* SG: Pmmn, No. 59
* raw formation energy: -19 kJ/mol of atoms

abc: 4.226 9.847 11.139
angles: 90.00 90.00 90.00
Sites, in units of the cell vectors:
Sb  0.500  0.425  0.674
Sb  0.000  0.286  0.500
Sb  0.000  0.575  0.826
Sb  0.500  0.425  0.326
Sb  0.000  0.575  0.174
Sb  0.500  0.714  0.000
Br  0.000  0.768  0.674
Br  0.500  0.081  0.500
Br  0.000  0.768  0.326
Br  0.000  0.919  0.000
Br  0.500  0.232  0.826
Br  0.500  0.232  0.174